Below is AlFe2SiO6 after structural relaxation, with properties calculated at the PBE with a Hubbard U level.

calculated volume: 91.2 Å³ per cell
total energy: -69.8 eV per cell

Unit cell a=4.9291 b=4.9406 c=5.1503 alpha=61.70 beta=89.76 gamma=60.13
With the nearest neighbours (Å) after each atom.
Space group P1 (No. 1)
Symmetry-distinct sites (fractional):
Al1 0.0000 0.0000 0.0000 [1 per cell]  6 O 1.88-2.01
Fe1 0.3014 0.3946 0.9097 [1 per cell]  6 O 1.94-2.01
Fe2 0.7874 0.4257 0.3633 [1 per cell]  6 O 2.02-2.24
Si1 0.5059 0.9848 0.5192 [1 per cell]  6 O 1.76-1.95
O1 0.1426 0.4965 0.2210 [1 per cell]  1 Al 1.89, 1 Si 1.95, 2 Fe 1.95-2.02
O2 0.2472 0.8843 0.7211 [1 per cell]  1 Si 1.76
O3 0.3572 0.9320 0.2171 [1 per cell]  1 Al 1.88, 1 Si 1.90, 2 Fe 1.94-2.06
O4 0.6068 0.1484 0.7174 [1 per cell]  1 Si 1.77
O5 0.7083 0.1428 0.2196 [1 per cell]  1 Al 1.89, 1 Si 1.90, 2 Fe 1.94-2.04
O6 0.8641 0.5277 0.7187 [1 per cell]  1 Si 1.77